No. 1
Density functional theory data (PBE) for LaNd3Sm2 after structural relaxation.

Cell and atoms, written as CIF:
```
data_LaNd3Sm2
_cell_length_a 7.3547
_cell_length_b 6.3607
_cell_length_c 12.2104
_cell_angle_alpha 110.27
_cell_angle_beta 90.00
_cell_angle_gamma 125.32
_symmetry_space_group_name_H-M 'P 1'
_symmetry_Int_Tables_number 1
loop_
_symmetry_equiv_pos_as_xyz
'x,y,z'
loop_
_atom_site_label
_atom_site_type_symbol
_atom_site_fract_x
_atom_site_fract_y
_atom_site_fract_z
_atom_site_occupancy
Nd1 Nd 0.7083 0.6670 0.4170 1
Nd2 Nd 0.6246 0.0000 0.2500 1
Nd3 Nd 0.2917 0.3330 0.5830 1
Nd4 Nd 0.0413 0.3330 0.0830 1
Nd5 Nd 0.3754 0.0000 0.7500 1
Nd6 Nd 0.9587 0.6670 0.9170 1
La1 La 0.8754 0.0000 0.7500 1
La2 La 0.1246 0.0000 0.2500 1
Sm1 Sm 0.5408 0.3323 0.0825 1
Sm2 Sm 0.7914 0.3323 0.5825 1
Sm3 Sm 0.2086 0.6677 0.4175 1
Sm4 Sm 0.4592 0.6677 0.9175 1
```

Computed properties:
DFT formation energy = 0.015 eV per atom
magnetic moment = 0.0 μB/f.u.
relative energy among the computed polymorphs = 0 meV per atom



No. 2
Density functional theory data (PBE) for SiPtN2F after structural relaxation.

Cell and atoms, written as CIF:
```
data_SiPtN2F
_cell_length_a 3.7424
_cell_length_b 3.7424
_cell_length_c 3.4474
_cell_angle_alpha 90.00
_cell_angle_beta 90.00
_cell_angle_gamma 90.00
_symmetry_space_group_name_H-M 'P 1'
_symmetry_Int_Tables_number 1
loop_
_symmetry_equiv_pos_as_xyz
'x,y,z'
loop_
_atom_site_label
_atom_site_type_symbol
_atom_site_fract_x
_atom_site_fract_y
_atom_site_fract_z
_atom_site_occupancy
Si1 Si 0.0000 0.0000 0.0000 1
F1 F 0.0000 0.0000 0.5000 1
Pt1 Pt 0.5000 0.5000 0.5000 1
N1 N 0.5000 0.0000 0.0000 1
N2 N 0.0000 0.5000 0.0000 1
```

Computed properties:
E_form (uncorrected) = 144 meV per atom
magnetic moment = 0.0 μB/f.u.
relative energy among the computed polymorphs = 0 meV per atom



No. 3
Density functional theory data (PBE) for Li2SiS after structural relaxation.

Cell and atoms, written as CIF:
```
data_Li2SiS
_cell_length_a 10.8527
_cell_length_b 3.9379
_cell_length_c 6.8263
_cell_angle_alpha 90.00
_cell_angle_beta 101.99
_cell_angle_gamma 90.00
_symmetry_space_group_name_H-M 'P 1'
_symmetry_Int_Tables_number 1
loop_
_symmetry_equiv_pos_as_xyz
'x,y,z'
loop_
_atom_site_label
_atom_site_type_symbol
_atom_site_fract_x
_atom_site_fract_y
_atom_site_fract_z
_atom_site_occupancy
Si1 Si 0.9685 0.0000 0.8451 1
Si2 Si 0.8822 0.5000 0.9834 1
Si3 Si 0.9685 0.5000 0.3451 1
Si4 Si 0.8822 0.0000 0.4834 1
S1 S 0.5054 0.0000 0.6916 1
S2 S 0.1750 0.0000 0.9113 1
S3 S 0.1750 0.5000 0.4113 1
S4 S 0.5054 0.5000 0.1916 1
Li1 Li 0.7275 0.5000 0.2653 1
Li2 Li 0.1815 0.0000 0.2464 1
Li3 Li 0.1815 0.5000 0.7464 1
Li4 Li 0.5760 0.0000 0.3819 1
Li5 Li 0.5760 0.5000 0.8819 1
Li6 Li 0.4149 0.0000 0.9947 1
Li7 Li 0.4149 0.5000 0.4947 1
Li8 Li 0.7275 0.0000 0.7653 1
```

Computed properties:
E_form (uncorrected) = -791 meV per atom
magnetic moment = 0.0 μB/f.u.
relative energy among the computed polymorphs = 38 meV per atom



No. 4
Density functional theory data (PBE) for BaGe2SbH after structural relaxation.

Cell and atoms, written as CIF:
```
data_BaGe2SbH
_cell_length_a 5.7284
_cell_length_b 3.9425
_cell_length_c 5.7284
_cell_angle_alpha 90.00
_cell_angle_beta 90.00
_cell_angle_gamma 90.00
_symmetry_space_group_name_H-M 'P 1'
_symmetry_Int_Tables_number 1
loop_
_symmetry_equiv_pos_as_xyz
'x,y,z'
loop_
_atom_site_label
_atom_site_type_symbol
_atom_site_fract_x
_atom_site_fract_y
_atom_site_fract_z
_atom_site_occupancy
Ba1 Ba 0.5000 0.5000 0.5000 1
H1 H 0.0000 0.5000 0.0000 1
Ge1 Ge 0.0000 0.0000 0.5000 1
Ge2 Ge 0.5000 0.0000 0.0000 1
Sb1 Sb 0.0000 0.0000 0.0000 1
```

Computed properties:
magnetic moment = 0.0 μB/f.u.
calculated total energy = -3.56 eV per atom



No. 5
Density functional theory data (PBE) for Ce2Cd16Au after structural relaxation.

Cell and atoms, written as CIF:
```
data_Ce2Cd16Au
_cell_length_a 7.6568
_cell_length_b 7.6568
_cell_length_c 7.6568
_cell_angle_alpha 82.14
_cell_angle_beta 82.14
_cell_angle_gamma 82.14
_symmetry_space_group_name_H-M 'P 1'
_symmetry_Int_Tables_number 1
loop_
_symmetry_equiv_pos_as_xyz
'x,y,z'
loop_
_atom_site_label
_atom_site_type_symbol
_atom_site_fract_x
_atom_site_fract_y
_atom_site_fract_z
_atom_site_occupancy
Cd1 Cd 0.0895 0.0895 0.0895 1
Cd2 Cd 0.4936 0.0089 0.0089 1
Cd3 Cd 0.1478 0.6489 0.6489 1
Cd4 Cd 0.7030 0.0005 0.3001 1
Cd5 Cd 0.0005 0.3001 0.7030 1
Cd6 Cd 0.7030 0.3001 0.0005 1
Cd7 Cd 0.3001 0.7030 0.0005 1
Cd8 Cd 0.0089 0.4936 0.0089 1
Cd9 Cd 0.6489 0.1478 0.6489 1
Cd10 Cd 0.3657 0.8262 0.3657 1
Cd11 Cd 0.0005 0.7030 0.3001 1
Cd12 Cd 0.0089 0.0089 0.4936 1
Cd13 Cd 0.3657 0.3657 0.8262 1
Cd14 Cd 0.8262 0.3657 0.3657 1
Cd15 Cd 0.6489 0.6489 0.1478 1
Cd16 Cd 0.3001 0.0005 0.7030 1
Au1 Au 0.8819 0.8819 0.8819 1
Ce1 Ce 0.6716 0.6716 0.6716 1
Ce2 Ce 0.3353 0.3353 0.3353 1
```

Computed properties:
DFT formation energy = -0.134 eV per atom
magnetic moment = 2.2 μB/f.u.



No. 6
Density functional theory data (PBE) for TeOs2Pb after structural relaxation.

Cell and atoms, written as CIF:
```
data_TeOs2Pb
_cell_length_a 3.1333
_cell_length_b 3.1333
_cell_length_c 9.1740
_cell_angle_alpha 90.00
_cell_angle_beta 90.00
_cell_angle_gamma 120.08
_symmetry_space_group_name_H-M 'P 1'
_symmetry_Int_Tables_number 1
loop_
_symmetry_equiv_pos_as_xyz
'x,y,z'
loop_
_atom_site_label
_atom_site_type_symbol
_atom_site_fract_x
_atom_site_fract_y
_atom_site_fract_z
_atom_site_occupancy
Pb1 Pb 0.5000 0.5000 0.2500 1
Te1 Te 0.5000 0.5000 0.7500 1
Os1 Os 0.0000 0.0000 0.5035 1
Os2 Os 0.0000 0.0000 0.9965 1
```

Computed properties:
E_form (uncorrected) = 1295 meV per atom
magnetic moment = 0.0 μB/f.u.
relative energy among the computed polymorphs = 814 meV per atom



No. 7
Density functional theory data (PBE) for MgCuPb after structural relaxation.

Cell and atoms, written as CIF:
```
data_MgCuPb
_cell_length_a 4.6165
_cell_length_b 4.6165
_cell_length_c 3.5041
_cell_angle_alpha 90.00
_cell_angle_beta 90.00
_cell_angle_gamma 120.00
_symmetry_space_group_name_H-M 'P 1'
_symmetry_Int_Tables_number 1
loop_
_symmetry_equiv_pos_as_xyz
'x,y,z'
loop_
_atom_site_label
_atom_site_type_symbol
_atom_site_fract_x
_atom_site_fract_y
_atom_site_fract_z
_atom_site_occupancy
Pb1 Pb 0.3333 0.6667 0.7750 1
Mg1 Mg 0.6667 0.3333 0.2828 1
Cu1 Cu 0.0000 0.0000 0.9422 1
```

Computed properties:
DFT formation energy = 0.130 eV per atom
magnetic moment = 0.0 μB/f.u.



No. 8
Density functional theory data (PBE) for CsBe2Sb2 after structural relaxation.

Cell and atoms, written as CIF:
```
data_CsBe2Sb2
_cell_length_a 3.9129
_cell_length_b 3.9129
_cell_length_c 9.1557
_cell_angle_alpha 77.66
_cell_angle_beta 77.66
_cell_angle_gamma 90.00
_symmetry_space_group_name_H-M 'P 1'
_symmetry_Int_Tables_number 1
loop_
_symmetry_equiv_pos_as_xyz
'x,y,z'
loop_
_atom_site_label
_atom_site_type_symbol
_atom_site_fract_x
_atom_site_fract_y
_atom_site_fract_z
_atom_site_occupancy
Be1 Be 0.2500 0.7500 0.5000 1
Be2 Be 0.7500 0.2500 0.5000 1
Sb1 Sb 0.6584 0.6584 0.6832 1
Sb2 Sb 0.3416 0.3416 0.3168 1
Cs1 Cs 0.0000 0.0000 0.0000 1
```

Computed properties:
E_form (uncorrected) = -99 meV per atom
magnetic moment = 0.0 μB/f.u.
relative energy among the computed polymorphs = 0 meV per atom



No. 9
Density functional theory data (PBE) for HoErPd after structural relaxation.

Cell and atoms, written as CIF:
```
data_HoErPd
_cell_length_a 3.7200
_cell_length_b 4.7733
_cell_length_c 4.7733
_cell_angle_alpha 120.00
_cell_angle_beta 90.00
_cell_angle_gamma 90.00
_symmetry_space_group_name_H-M 'P 1'
_symmetry_Int_Tables_number 1
loop_
_symmetry_equiv_pos_as_xyz
'x,y,z'
loop_
_atom_site_label
_atom_site_type_symbol
_atom_site_fract_x
_atom_site_fract_y
_atom_site_fract_z
_atom_site_occupancy
Ho1 Ho 0.0632 0.0000 0.0000 1
Pd1 Pd 0.3388 0.3333 0.6667 1
Er1 Er 0.5980 0.6667 0.3333 1
```

Computed properties:
DFT formation energy = -0.412 eV per atom
magnetic moment = 0.0 μB/f.u.
relative energy among the computed polymorphs = 178 meV per atom



No. 10
Density functional theory data (PBE) for DyThHgBi after structural relaxation.

Cell and atoms, written as CIF:
```
data_DyThHgBi
_cell_length_a 5.4495
_cell_length_b 5.4495
_cell_length_c 5.4495
_cell_angle_alpha 60.00
_cell_angle_beta 60.00
_cell_angle_gamma 60.00
_symmetry_space_group_name_H-M 'P 1'
_symmetry_Int_Tables_number 1
loop_
_symmetry_equiv_pos_as_xyz
'x,y,z'
loop_
_atom_site_label
_atom_site_type_symbol
_atom_site_fract_x
_atom_site_fract_y
_atom_site_fract_z
_atom_site_occupancy
Dy1 Dy 0.0000 0.0000 0.0000 1
Th1 Th 0.5000 0.5000 0.5000 1
Bi1 Bi 0.2500 0.2500 0.2500 1
Hg1 Hg 0.7500 0.7500 0.7500 1
```

Computed properties:
DFT formation energy = -0.373 eV per atom
magnetic moment = 0.0 μB/f.u.



No. 11
Density functional theory data (PBE) for Ac3InRh2 after structural relaxation.

Cell and atoms, written as CIF:
```
data_Ac3InRh2
_cell_length_a 4.4424
_cell_length_b 8.8926
_cell_length_c 11.0896
_cell_angle_alpha 66.95
_cell_angle_beta 78.45
_cell_angle_gamma 75.54
_symmetry_space_group_name_H-M 'P 1'
_symmetry_Int_Tables_number 1
loop_
_symmetry_equiv_pos_as_xyz
'x,y,z'
loop_
_atom_site_label
_atom_site_type_symbol
_atom_site_fract_x
_atom_site_fract_y
_atom_site_fract_z
_atom_site_occupancy
Rh1 Rh 0.6153 0.1907 0.5787 1
Rh2 Rh 0.8531 0.4720 0.8217 1
Rh3 Rh 0.3847 0.8093 0.4213 1
Rh4 Rh 0.1469 0.5280 0.1783 1
In1 In 0.5647 0.5157 0.3549 1
In2 In 0.4353 0.4843 0.6451 1
Ac1 Ac 0.7935 0.8082 0.6047 1
Ac2 Ac 0.9543 0.8605 0.2310 1
Ac3 Ac 0.6568 0.6875 0.9989 1
Ac4 Ac 0.0457 0.1395 0.7690 1
Ac5 Ac 0.3432 0.3125 0.0011 1
Ac6 Ac 0.2065 0.1918 0.3953 1
```

Computed properties:
DFT formation energy = -0.521 eV per atom
magnetic moment = 0.0 μB/f.u.



No. 12
Density functional theory data (PBE) for PmTmTl2 after structural relaxation.

Cell and atoms, written as CIF:
```
data_PmTmTl2
_cell_length_a 3.7644
_cell_length_b 3.7644
_cell_length_c 9.9508
_cell_angle_alpha 79.10
_cell_angle_beta 79.10
_cell_angle_gamma 60.00
_symmetry_space_group_name_H-M 'P 1'
_symmetry_Int_Tables_number 1
loop_
_symmetry_equiv_pos_as_xyz
'x,y,z'
loop_
_atom_site_label
_atom_site_type_symbol
_atom_site_fract_x
_atom_site_fract_y
_atom_site_fract_z
_atom_site_occupancy
Pm1 Pm 0.5000 0.5000 0.5000 1
Tm1 Tm 0.0000 0.0000 0.0000 1
Tl1 Tl 0.7474 0.7474 0.7577 1
Tl2 Tl 0.2526 0.2526 0.2423 1
```

Computed properties:
DFT formation energy = -0.248 eV per atom
magnetic moment = 0.0 μB/f.u.



No. 13
Density functional theory data (PBE) for FeNi2Ir after structural relaxation.

Cell and atoms, written as CIF:
```
data_FeNi2Ir
_cell_length_a 4.4790
_cell_length_b 4.4790
_cell_length_c 4.4485
_cell_angle_alpha 79.64
_cell_angle_beta 79.64
_cell_angle_gamma 33.95
_symmetry_space_group_name_H-M 'P 1'
_symmetry_Int_Tables_number 1
loop_
_symmetry_equiv_pos_as_xyz
'x,y,z'
loop_
_atom_site_label
_atom_site_type_symbol
_atom_site_fract_x
_atom_site_fract_y
_atom_site_fract_z
_atom_site_occupancy
Ir1 Ir 0.2500 0.2500 0.2500 1
Fe1 Fe 0.7500 0.7500 0.7500 1
Ni1 Ni 0.0005 0.0005 0.9967 1
Ni2 Ni 0.4995 0.4995 0.5033 1
```

Computed properties:
DFT formation energy = 0.001 eV per atom
magnetic moment = 4.3 μB/f.u.



No. 14
Density functional theory data (PBE) for Sm2TmPaS4 after structural relaxation.

Cell and atoms, written as CIF:
```
data_Sm2TmPaS4
_cell_length_a 3.9063
_cell_length_b 6.8494
_cell_length_c 6.8203
_cell_angle_alpha 108.98
_cell_angle_beta 90.00
_cell_angle_gamma 90.00
_symmetry_space_group_name_H-M 'P 1'
_symmetry_Int_Tables_number 1
loop_
_symmetry_equiv_pos_as_xyz
'x,y,z'
loop_
_atom_site_label
_atom_site_type_symbol
_atom_site_fract_x
_atom_site_fract_y
_atom_site_fract_z
_atom_site_occupancy
Sm1 Sm 0.5000 0.0000 0.5000 1
Sm2 Sm 0.0000 0.5000 0.5000 1
S1 S 0.0000 0.7511 0.2410 1
S2 S 0.5000 0.2424 0.2369 1
S3 S 0.0000 0.2489 0.7590 1
S4 S 0.5000 0.7576 0.7631 1
Tm1 Tm 0.0000 0.0000 0.0000 1
Pa1 Pa 0.5000 0.5000 0.0000 1
```

Computed properties:
E_form (uncorrected) = -1877 meV per atom
magnetic moment = 0.0 μB/f.u.



No. 15
Density functional theory data (PBE) for CsZnGePSe after structural relaxation.

Cell and atoms, written as CIF:
```
data_CsZnGePSe
_cell_length_a 7.9565
_cell_length_b 4.0966
_cell_length_c 9.7149
_cell_angle_alpha 90.00
_cell_angle_beta 103.55
_cell_angle_gamma 90.00
_symmetry_space_group_name_H-M 'P 1'
_symmetry_Int_Tables_number 1
loop_
_symmetry_equiv_pos_as_xyz
'x,y,z'
loop_
_atom_site_label
_atom_site_type_symbol
_atom_site_fract_x
_atom_site_fract_y
_atom_site_fract_z
_atom_site_occupancy
Zn1 Zn 0.2779 0.5000 0.1272 1
Zn2 Zn 0.2779 0.0000 0.6272 1
P1 P 0.4027 0.5000 0.7249 1
P2 P 0.4027 0.0000 0.2249 1
Cs1 Cs 0.6983 0.5000 0.4868 1
Cs2 Cs 0.6983 0.0000 0.9868 1
Ge1 Ge 0.1924 0.5000 0.8600 1
Ge2 Ge 0.1924 0.0000 0.3600 1
Se1 Se 0.0023 0.0000 0.7501 1
Se2 Se 0.0023 0.5000 0.2501 1
```

Computed properties:
E_form (uncorrected) = -435 meV per atom
magnetic moment = 0.0 μB/f.u.
relative energy among the computed polymorphs = 36 meV per atom



No. 16
Density functional theory data (PBE) for CsPPt2Pb after structural relaxation.

Cell and atoms, written as CIF:
```
data_CsPPt2Pb
_cell_length_a 4.7856
_cell_length_b 5.5696
_cell_length_c 4.7856
_cell_angle_alpha 90.00
_cell_angle_beta 90.00
_cell_angle_gamma 90.00
_symmetry_space_group_name_H-M 'P 1'
_symmetry_Int_Tables_number 1
loop_
_symmetry_equiv_pos_as_xyz
'x,y,z'
loop_
_atom_site_label
_atom_site_type_symbol
_atom_site_fract_x
_atom_site_fract_y
_atom_site_fract_z
_atom_site_occupancy
P1 P 0.0000 0.0000 0.0000 1
Pt1 Pt 0.5000 0.0000 0.0000 1
Pt2 Pt 0.0000 0.0000 0.5000 1
Pb1 Pb 0.0000 0.5000 0.0000 1
Cs1 Cs 0.5000 0.5000 0.5000 1
```

Computed properties:
DFT formation energy = 0.138 eV per atom
magnetic moment = 0.0 μB/f.u.



No. 17
Density functional theory data (PBE) for Sr3InGa2Ag9 after structural relaxation.

Cell and atoms, written as CIF:
```
data_Sr3InGa2Ag9
_cell_length_a 7.1242
_cell_length_b 7.1242
_cell_length_c 8.9697
_cell_angle_alpha 90.00
_cell_angle_beta 90.00
_cell_angle_gamma 120.00
_symmetry_space_group_name_H-M 'P 1'
_symmetry_Int_Tables_number 1
loop_
_symmetry_equiv_pos_as_xyz
'x,y,z'
loop_
_atom_site_label
_atom_site_type_symbol
_atom_site_fract_x
_atom_site_fract_y
_atom_site_fract_z
_atom_site_occupancy
Ag1 Ag 0.0000 0.5000 0.0000 1
Ag2 Ag 0.8021 0.1979 0.6202 1
Ag3 Ag 0.1979 0.8021 0.3798 1
Ag4 Ag 0.6043 0.8021 0.3798 1
Ag5 Ag 0.8021 0.6043 0.6202 1
Ag6 Ag 0.3957 0.1979 0.6202 1
Ag7 Ag 0.5000 0.5000 0.0000 1
Ag8 Ag 0.5000 0.0000 0.0000 1
Ag9 Ag 0.1979 0.3957 0.3798 1
Ga1 Ga 0.3333 0.6667 0.1602 1
Ga2 Ga 0.6667 0.3333 0.8398 1
In1 In 0.0000 0.0000 0.5000 1
Sr1 Sr 0.6667 0.3333 0.2943 1
Sr2 Sr 0.3333 0.6667 0.7057 1
Sr3 Sr 0.0000 0.0000 0.0000 1
```

Computed properties:
DFT formation energy = -0.088 eV per atom
magnetic moment = 0.0 μB/f.u.